Entry from Alexandria: a relaxed structure of MnZnPb2O6 (PBE+U).

## Properties
total moment: 8.97 μB/cell
total energy: -5.70 eV/atom

a = 5.5136 Å, b = 5.5136 Å, c = 14.6597 Å
α = 90.00°, β = 90.00°, γ = 120.00°
Space group R3 (No. 146, hexagonal axes)
Inequivalent atoms, fractional coordinates:
Mn: 0.0000 0.0000 0.0000 x3
Zn: 0.0000 0.0000 0.5183 x3
Pb: 0.0000 0.0000 0.2983 x3
Pb: 0.0000 0.0000 0.7753 x3
O: 0.0041 0.5687 0.7364 x9
O: 0.0575 0.3595 0.5801 x9